[1]
VASP calculation (PBE-GGA) on a relaxed SrPrAgBi crystal.

Results
ΔH_f (0 K): -0.49 eV per atom

Cell and atoms, written as CIF:
```
data_SrPrAgBi
_cell_length_a 7.9155
_cell_length_b 7.9155
_cell_length_c 7.9155
_cell_angle_alpha 90.00
_cell_angle_beta 90.00
_cell_angle_gamma 90.00
_symmetry_space_group_name_H-M 'F -4 3 m'
_symmetry_Int_Tables_number 216
_symmetry_space_group_name_Hall 'F -4 2 3'
loop_
_atom_site_label
_atom_site_fract_x
_atom_site_fract_y
_atom_site_fract_z
Sr1 0.0000 0.0000 0.0000
Pr1 0.0000 0.0000 0.5000
Ag1 0.2500 0.2500 0.2500
Bi1 0.2500 0.2500 0.7500
```

***

[2]
VASP calculation (PBE-GGA) on a relaxed FePC crystal.

Results
ΔH_f (0 K): 0.18 eV per atom

Cell and atoms, written as CIF:
```
data_FePC
_cell_length_a 4.7581
_cell_length_b 2.7479
_cell_length_c 9.0086
_cell_angle_alpha 90.00
_cell_angle_beta 100.13
_cell_angle_gamma 90.00
_symmetry_space_group_name_H-M 'C 1 m 1'
_symmetry_Int_Tables_number 8
loop_
_symmetry_equiv_pos_as_xyz
'x,y,z'
'x,-y,z'
'x+1/2,y+1/2,z'
'x+1/2,-y+1/2,z'
loop_
_atom_site_label
_atom_site_fract_x
_atom_site_fract_y
_atom_site_fract_z
Fe1 0.0000 0.0000 0.0000
Fe2 0.0374 0.5000 0.6061
P1 0.2723 0.0000 0.8172
P2 0.4049 0.0000 0.2106
C1 0.2733 0.5000 0.3163
C2 0.3272 0.5000 0.4780
```

***

[3]
VASP calculation (PBE-GGA) on a relaxed ZrInSbTe2 crystal.

Results
Formation energy without anion corrections: 3.68 eV per formula unit

Cell and atoms, written as CIF:
```
data_ZrInSbTe2
_cell_length_a 5.5752
_cell_length_b 5.5752
_cell_length_c 5.4377
_cell_angle_alpha 90.00
_cell_angle_beta 90.00
_cell_angle_gamma 90.00
_symmetry_space_group_name_H-M 'P 4/m m m'
_symmetry_Int_Tables_number 123
_symmetry_space_group_name_Hall '-P 4 2'
loop_
_atom_site_label
_atom_site_fract_x
_atom_site_fract_y
_atom_site_fract_z
Zr1 0.0000 0.0000 0.0000
In1 0.5000 0.5000 0.5000
Sb1 0.5000 0.5000 0.0000
Te1 0.0000 0.5000 0.5000
```

***

In the order shown, the computed volume values come out to 496, 116, 169 Å³/cell.
In the order shown, the computed magnetization values come out to 0.00, 0.42, 1.06 μB per formula unit.